Run w
! Sb2TeIrO PBE-GGA optimized geometry; values from VASP
&SYSTEM
  ibrav = 0, nat = 5, ntyp = 4
/
ATOMIC_SPECIES
Te 127.60 Te.upf
Sb 121.76 Sb.upf
O 16.00 O.upf
Ir 192.22 Ir.upf
CELL_PARAMETERS angstrom
4.606 0.000 0.000
0.000 4.606 0.000
0.000 0.000 4.779
ATOMIC_POSITIONS crystal
Te 0.000 0.000 0.500
Sb 0.000 0.500 0.000
Sb 0.500 0.000 0.000
O 0.000 0.000 0.000
Ir 0.500 0.500 0.500
! DOS at the Fermi energy = 2.1 states/eV/cell



Run x
! Sb2TeIrO PBE-GGA optimized geometry; values from VASP
&SYSTEM
  ibrav = 0, nat = 5, ntyp = 4
/
ATOMIC_SPECIES
Sb 121.76 Sb.upf
Ir 192.22 Ir.upf
Te 127.60 Te.upf
O 16.00 O.upf
CELL_PARAMETERS angstrom
5.156 0.000 0.000
0.000 5.156 0.000
0.000 0.000 5.216
ATOMIC_POSITIONS crystal
Sb 0.500 0.000 0.000
Sb 0.000 0.500 0.000
Ir 0.000 0.000 0.000
Te 0.000 0.000 0.500
O 0.500 0.500 0.500
! DOS at the Fermi energy = 7.9 states/eV/cell



Bottom line: run w, by a margin of 50.1 kJ/mol of atoms.



Run w
! Sc2IrO2 PBE-GGA optimized geometry; values from VASP
&SYSTEM
  ibrav = 0, nat = 10, ntyp = 3
/
ATOMIC_SPECIES
Ir 192.22 Ir.upf
O 16.00 O.upf
Sc 44.96 Sc.upf
CELL_PARAMETERS angstrom
-1.394 -0.581 -6.402
-1.917 -6.215 0.981
-2.738 0.925 0.512
ATOMIC_POSITIONS crystal
Ir 0.000 0.000 0.000
Ir 0.500 0.500 0.000
O 0.359 0.859 0.000
O 0.641 0.141 0.000
O 0.141 0.359 0.000
O 0.859 0.641 0.000
Sc 0.184 0.684 0.500
Sc 0.684 0.816 0.500
Sc 0.816 0.316 0.500
Sc 0.316 0.184 0.500
! DOS at the Fermi energy = 4.8 states/eV/cell



Run x
! Sc2IrO2 PBE-GGA optimized geometry; values from VASP
&SYSTEM
  ibrav = 0, nat = 5, ntyp = 3
/
ATOMIC_SPECIES
Ir 192.22 Ir.upf
O 16.00 O.upf
Sc 44.96 Sc.upf
CELL_PARAMETERS angstrom
-0.845 4.214 -0.670
-1.678 -0.956 -3.897
-4.756 1.185 -0.670
ATOMIC_POSITIONS crystal
Ir 0.000 0.000 0.000
O 0.264 0.264 0.472
O 0.736 0.736 0.528
Sc 0.250 0.750 0.500
Sc 0.750 0.250 0.500
! DOS at the Fermi energy = 3.1 states/eV/cell



Bottom line: run x, by a margin of 31.3 kJ/mol of atoms.



Run w
! Ir3SeO PBE-GGA optimized geometry; values from VASP
&SYSTEM
  ibrav = 0, nat = 5, ntyp = 3
/
ATOMIC_SPECIES
Ir 192.22 Ir.upf
Se 78.96 Se.upf
O 16.00 O.upf
CELL_PARAMETERS angstrom
4.213 0.000 0.000
0.000 4.213 0.000
0.000 0.000 4.213
ATOMIC_POSITIONS crystal
Ir 0.000 0.500 0.000
Ir 0.000 0.000 0.500
Ir 0.500 0.000 0.000
Se 0.500 0.500 0.500
O 0.000 0.000 0.000
! DOS at the Fermi energy = 8.0 states/eV/cell



Run x
! Ir3SeO PBE-GGA optimized geometry; values from VASP
&SYSTEM
  ibrav = 0, nat = 5, ntyp = 3
/
ATOMIC_SPECIES
Ir 192.22 Ir.upf
O 16.00 O.upf
Se 78.96 Se.upf
CELL_PARAMETERS angstrom
4.593 0.000 0.000
0.000 4.593 0.000
0.000 0.000 4.593
ATOMIC_POSITIONS crystal
Ir 0.000 0.000 0.500
Ir 0.500 0.000 0.000
Ir 0.000 0.500 0.000
O 0.500 0.500 0.500
Se 0.000 0.000 0.000
! DOS at the Fermi energy = 5.0 states/eV/cell



Bottom line: run w, by a margin of 78.3 kJ/mol of atoms.



Run w
! IrSe2O2 PBE-GGA optimized geometry; values from VASP
&SYSTEM
  ibrav = 0, nat = 10, ntyp = 3
/
ATOMIC_SPECIES
Se 78.96 Se.upf
O 16.00 O.upf
Ir 192.22 Ir.upf
CELL_PARAMETERS angstrom
-6.928 0.006 -2.726
2.725 -0.133 -6.927
-0.020 -2.661 0.043
ATOMIC_POSITIONS crystal
Se 0.254 0.754 0.500
Se 0.746 0.246 0.500
Se 0.246 0.254 0.500
Se 0.754 0.746 0.500
O 0.387 0.887 0.000
O 0.887 0.613 0.000
O 0.613 0.113 0.000
O 0.113 0.387 0.000
Ir 0.500 0.500 0.000
Ir 0.000 0.000 0.000
! DOS at the Fermi energy = 7.3 states/eV/cell



Run x
! IrSe2O2 PBE-GGA optimized geometry; values from VASP
&SYSTEM
  ibrav = 0, nat = 5, ntyp = 3
/
ATOMIC_SPECIES
Se 78.96 Se.upf
O 16.00 O.upf
Ir 192.22 Ir.upf
CELL_PARAMETERS angstrom
-3.261 -0.906 -2.946
-1.316 -3.469 2.523
-4.408 -0.136 1.504
ATOMIC_POSITIONS crystal
Se 0.750 0.250 0.500
Se 0.250 0.750 0.500
O 0.405 0.405 0.190
O 0.595 0.595 0.810
Ir 0.000 0.000 0.000
! DOS at the Fermi energy = 2.9 states/eV/cell



Bottom line: run x, by a margin of 3.3 kJ/mol of atoms.



Run w
! Si3IrO PBE-GGA optimized geometry; values from VASP
&SYSTEM
  ibrav = 0, nat = 5, ntyp = 3
/
ATOMIC_SPECIES
Si 28.09 Si.upf
O 16.00 O.upf
Ir 192.22 Ir.upf
CELL_PARAMETERS angstrom
-3.049 2.572 0.058
-2.538 -2.991 -0.728
-0.426 -0.593 3.922
ATOMIC_POSITIONS crystal
Si 0.000 0.000 0.500
Si 0.500 0.000 0.000
Si 0.000 0.500 0.000
O 0.000 0.000 0.000
Ir 0.500 0.500 0.500
! DOS at the Fermi energy = 1.6 states/eV/cell



Run x
! Si3IrO PBE-GGA optimized geometry; values from VASP
&SYSTEM
  ibrav = 0, nat = 5, ntyp = 3
/
ATOMIC_SPECIES
Ir 192.22 Ir.upf
Si 28.09 Si.upf
O 16.00 O.upf
CELL_PARAMETERS angstrom
-1.548 3.287 -2.776
-2.902 1.379 3.253
3.176 2.863 1.619
ATOMIC_POSITIONS crystal
Ir 0.000 0.000 0.000
Si 0.000 0.000 0.500
Si 0.000 0.500 0.000
Si 0.500 0.000 0.000
O 0.500 0.500 0.500
! DOS at the Fermi energy = 4.3 states/eV/cell



Bottom line: run w, by a margin of 41.9 kJ/mol of atoms.



Run w
! TbIrO4 PBE-GGA optimized geometry; values from VASP
&SYSTEM
  ibrav = 0, nat = 24, ntyp = 3
/
ATOMIC_SPECIES
Tb 158.93 Tb.upf
O 16.00 O.upf
Ir 192.22 Ir.upf
CELL_PARAMETERS angstrom
-2.823 -2.228 3.986
-6.059 -0.584 -4.618
3.186 -6.553 -1.407
ATOMIC_POSITIONS crystal
Tb 0.282 0.650 0.392
Tb 0.218 0.650 0.892
Tb 0.782 0.350 0.108
Tb 0.718 0.350 0.608
O 0.523 0.612 0.675
O 0.012 0.688 0.621
O 0.375 0.167 0.554
O 0.977 0.612 0.175
O 0.512 0.312 0.879
O 0.092 0.940 0.308
O 0.488 0.688 0.121
O 0.023 0.388 0.825
O 0.592 0.060 0.192
O 0.408 0.940 0.808
O 0.908 0.060 0.692
O 0.477 0.388 0.325
O 0.125 0.167 0.054
O 0.988 0.312 0.379
O 0.625 0.833 0.446
O 0.875 0.833 0.946
Ir 0.228 0.160 0.799
Ir 0.272 0.160 0.299
Ir 0.772 0.840 0.201
Ir 0.728 0.840 0.701
! DOS at the Fermi energy = 16.7 states/eV/cell



Run x
! TbIrO4 PBE-GGA optimized geometry; values from VASP
&SYSTEM
  ibrav = 0, nat = 12, ntyp = 3
/
ATOMIC_SPECIES
O 16.00 O.upf
Ir 192.22 Ir.upf
Tb 158.93 Tb.upf
CELL_PARAMETERS angstrom
3.750 0.000 0.000
0.000 5.525 0.000
-1.875 0.000 7.245
ATOMIC_POSITIONS crystal
O 0.086 0.757 0.172
O 0.339 0.570 0.678
O 0.704 0.581 0.409
O 0.460 0.921 0.920
O 0.296 0.081 0.591
O 0.540 0.421 0.080
O 0.914 0.257 0.828
O 0.661 0.070 0.322
Ir 0.415 0.273 0.830
Ir 0.585 0.773 0.170
Tb 0.172 0.332 0.343
Tb 0.828 0.832 0.657
! DOS at the Fermi energy = 9.0 states/eV/cell



Bottom line: run w, by a margin of 8.9 kJ/mol of atoms.